Record 1
# Er4CoCu (PBE, optimized geometry)
# - crystal system = tetragonal
# - ΔE_f (eV/atom) = -0.031
data_Er4CoCu
_chemical_formula_sum 'Er16 Co4 Cu4'
_cell_length_a 9.1227
_cell_length_b 9.1227
_cell_length_c 7.8546
_cell_angle_alpha 90.00
_cell_angle_beta 90.00
_cell_angle_gamma 90.00
_space_group_name_H-M_alt 'I 41 m d'
_space_group_IT_number 109
_space_group_name_Hall 'I 4bw -2'
loop_
_atom_site_label
_atom_site_type_symbol
_atom_site_fract_x
_atom_site_fract_y
_atom_site_fract_z
_atom_site_occupancy
Er1 Er 0.0000 0.2932 0.0000 1
Er2 Er 0.0000 0.3028 0.4739 1
Co1 Co 0.0000 0.0000 0.9845 1
Cu1 Cu 0.0000 0.0000 0.4893 1



Record 2
# Ti2AlOs3 (PBE, optimized geometry)
# - crystal system = tetragonal
# - ΔE_f (eV/atom) = -0.623
data_Ti2AlOs3
_chemical_formula_sum 'Ti2 Al1 Os3'
_cell_length_a 3.0791
_cell_length_b 3.0791
_cell_length_c 9.1419
_cell_angle_alpha 90.00
_cell_angle_beta 90.00
_cell_angle_gamma 90.00
_space_group_name_H-M_alt 'P 4/m m m'
_space_group_IT_number 123
_space_group_name_Hall '-P 4 2'
loop_
_atom_site_label
_atom_site_type_symbol
_atom_site_fract_x
_atom_site_fract_y
_atom_site_fract_z
_atom_site_occupancy
Ti1 Ti 0.0000 0.0000 0.1720 1
Al1 Al 0.0000 0.0000 0.5000 1
Os1 Os 0.5000 0.5000 0.0000 1
Os2 Os 0.5000 0.5000 0.3352 1



Record 3
# NiSe2 (PBE, optimized geometry)
# - crystal system = orthorhombic
# - raw formation energy (eV per atom) = -0.244
data_NiSe2
_chemical_formula_sum 'Ni2 Se4'
_cell_length_a 4.9109
_cell_length_b 6.0024
_cell_length_c 3.6967
_cell_angle_alpha 90.00
_cell_angle_beta 90.00
_cell_angle_gamma 90.00
_space_group_name_H-M_alt 'P n n m'
_space_group_IT_number 58
_space_group_name_Hall '-P 2 2n'
loop_
_atom_site_label
_atom_site_type_symbol
_atom_site_fract_x
_atom_site_fract_y
_atom_site_fract_z
_atom_site_occupancy
Ni1 Ni 0.0000 0.0000 0.0000 1
Se1 Se 0.2101 0.3756 0.0000 1



Record 4
# BeSiMo (PBE, optimized geometry)
# - crystal system = monoclinic
# - raw formation energy (eV per atom) = -0.059
data_BeSiMo
_chemical_formula_sum 'Be2 Si2 Mo2'
_cell_length_a 4.7955
_cell_length_b 3.3730
_cell_length_c 4.8404
_cell_angle_alpha 90.00
_cell_angle_beta 95.80
_cell_angle_gamma 90.00
_space_group_name_H-M_alt 'P 1 21/m 1'
_space_group_IT_number 11
_space_group_name_Hall '-P 2yb'
loop_
_atom_site_label
_atom_site_type_symbol
_atom_site_fract_x
_atom_site_fract_y
_atom_site_fract_z
_atom_site_occupancy
Be1 Be 0.1214 0.2500 0.4566 1
Si1 Si 0.1427 0.2500 0.9142 1
Mo1 Mo 0.3929 0.7500 0.2544 1



Record 5
# Nd4HoS4 (PBE, optimized geometry)
# - crystal system = triclinic
# - raw formation energy (eV per atom) = -1.764
data_Nd4HoS4
_chemical_formula_sum 'Nd4 Ho1 S4'
_cell_length_a 5.7369
_cell_length_b 6.9191
_cell_length_c 6.9253
_cell_angle_alpha 80.22
_cell_angle_beta 65.62
_cell_angle_gamma 65.69
_space_group_name_H-M_alt 'P -1'
_space_group_IT_number 2
_space_group_name_Hall '-P 1'
loop_
_atom_site_label
_atom_site_type_symbol
_atom_site_fract_x
_atom_site_fract_y
_atom_site_fract_z
_atom_site_occupancy
Nd1 Nd 0.0991 0.0995 0.2020 1
Nd2 Nd 0.3015 0.2978 0.5994 1
Ho1 Ho 0.5000 0.5000 0.0000 1
S1 S 0.2069 0.6965 0.3900 1
S2 S 0.4032 0.8901 0.8037 1



Record 6
# SrGdPb2 (PBE, optimized geometry)
# - crystal system = tetragonal
# - ΔE_f (eV/atom) = -0.453
data_SrGdPb2
_chemical_formula_sum 'Sr1 Gd1 Pb2'
_cell_length_a 5.2937
_cell_length_b 5.2937
_cell_length_c 4.4964
_cell_angle_alpha 90.00
_cell_angle_beta 90.00
_cell_angle_gamma 90.00
_space_group_name_H-M_alt 'P 4/m m m'
_space_group_IT_number 123
_space_group_name_Hall '-P 4 2'
loop_
_atom_site_label
_atom_site_type_symbol
_atom_site_fract_x
_atom_site_fract_y
_atom_site_fract_z
_atom_site_occupancy
Sr1 Sr 0.0000 0.0000 0.0000 1
Gd1 Gd 0.5000 0.5000 0.0000 1
Pb1 Pb 0.0000 0.5000 0.5000 1



Record 7
# La2InPt2 (PBE, optimized geometry)
# - crystal system = tetragonal
# - ΔE_f (eV/atom) = -0.733
data_La2InPt2
_chemical_formula_sum 'La4 In2 Pt4'
_cell_length_a 3.9218
_cell_length_b 3.9218
_cell_length_c 17.7211
_cell_angle_alpha 90.00
_cell_angle_beta 90.00
_cell_angle_gamma 90.00
_space_group_name_H-M_alt 'I 4/m m m'
_space_group_IT_number 139
_space_group_name_Hall '-I 4 2'
loop_
_atom_site_label
_atom_site_type_symbol
_atom_site_fract_x
_atom_site_fract_y
_atom_site_fract_z
_atom_site_occupancy
La1 La 0.0000 0.0000 0.1233 1
In1 In 0.0000 0.0000 0.5000 1
Pt1 Pt 0.0000 0.5000 0.2500 1



Record 8
# LaZrB (PBE, optimized geometry)
# - crystal system = triclinic
# - ΔE_f (eV/atom) = -0.133
data_LaZrB
_chemical_formula_sum 'La2 Zr2 B2'
_cell_length_a 3.8638
_cell_length_b 4.6783
_cell_length_c 7.5109
_cell_angle_alpha 84.54
_cell_angle_beta 89.73
_cell_angle_gamma 80.63
_space_group_name_H-M_alt 'P -1'
_space_group_IT_number 2
_space_group_name_Hall '-P 1'
loop_
_atom_site_label
_atom_site_type_symbol
_atom_site_fract_x
_atom_site_fract_y
_atom_site_fract_z
_atom_site_occupancy
La1 La 0.2329 0.2920 0.3318 1
Zr1 Zr 0.2148 0.1798 0.8720 1
B1 B 0.3465 0.6470 0.9643 1



Record 9
# Ag2Bi2S3 (PBE, optimized geometry)
# - crystal system = monoclinic
# - raw formation energy (eV per atom) = -0.100
data_Ag2Bi2S3
_chemical_formula_sum 'Ag4 Bi4 S6'
_cell_length_a 12.9344
_cell_length_b 3.8976
_cell_length_c 6.8499
_cell_angle_alpha 90.00
_cell_angle_beta 103.70
_cell_angle_gamma 90.00
_space_group_name_H-M_alt 'C 1 2/m 1'
_space_group_IT_number 12
_space_group_name_Hall '-C 2y'
loop_
_atom_site_label
_atom_site_type_symbol
_atom_site_fract_x
_atom_site_fract_y
_atom_site_fract_z
_atom_site_occupancy
Ag1 Ag 0.0762 0.0000 0.1851 1
Bi1 Bi 0.1205 0.5000 0.8090 1
S1 S 0.0000 0.0000 0.5000 1
S2 S 0.2195 0.5000 0.2107 1



Record 10
# KMgOs (PBE, optimized geometry)
# - crystal system = orthorhombic
# - ΔE_f (eV/atom) = 0.843
data_KMgOs
_chemical_formula_sum 'K4 Mg4 Os4'
_cell_length_a 3.0378
_cell_length_b 4.8202
_cell_length_c 16.7027
_cell_angle_alpha 90.00
_cell_angle_beta 90.00
_cell_angle_gamma 90.00
_space_group_name_H-M_alt 'F m m 2'
_space_group_IT_number 42
_space_group_name_Hall 'F 2 -2'
loop_
_atom_site_label
_atom_site_type_symbol
_atom_site_fract_x
_atom_site_fract_y
_atom_site_fract_z
_atom_site_occupancy
K1 K 0.0000 0.0000 0.0000 1
Mg1 Mg 0.0000 0.0000 0.7003 1
Os1 Os 0.0000 0.0000 0.3340 1



Record 11
# KLaMo (PBE, optimized geometry)
# - crystal system = orthorhombic
# - ΔE_f (eV/atom) = 0.954
data_KLaMo
_chemical_formula_sum 'K2 La2 Mo2'
_cell_length_a 3.2857
_cell_length_b 4.5077
_cell_length_c 13.9830
_cell_angle_alpha 90.00
_cell_angle_beta 90.00
_cell_angle_gamma 90.00
_space_group_name_H-M_alt 'I m m 2'
_space_group_IT_number 44
_space_group_name_Hall 'I 2 -2'
loop_
_atom_site_label
_atom_site_type_symbol
_atom_site_fract_x
_atom_site_fract_y
_atom_site_fract_z
_atom_site_occupancy
K1 K 0.0000 0.0000 0.0000 1
La1 La 0.0000 0.0000 0.2560 1
Mo1 Mo 0.0000 0.0000 0.7374 1



Record 12
# Ti2TlCr (PBE, optimized geometry)
# - crystal system = cubic
# - ΔE_f (eV/atom) = 0.214
data_Ti2TlCr
_chemical_formula_sum 'Ti8 Tl4 Cr4'
_cell_length_a 6.4483
_cell_length_b 6.4483
_cell_length_c 6.4483
_cell_angle_alpha 90.00
_cell_angle_beta 90.00
_cell_angle_gamma 90.00
_space_group_name_H-M_alt 'F m -3 m'
_space_group_IT_number 225
_space_group_name_Hall '-F 4 2 3'
loop_
_atom_site_label
_atom_site_type_symbol
_atom_site_fract_x
_atom_site_fract_y
_atom_site_fract_z
_atom_site_occupancy
Ti1 Ti 0.2500 0.2500 0.2500 1
Tl1 Tl 0.0000 0.0000 0.0000 1
Cr1 Cr 0.0000 0.0000 0.5000 1



Record 13
# LiAg2F4 (PBE, optimized geometry)
# - crystal system = monoclinic
# - raw formation energy (eV per atom) = -1.548
data_LiAg2F4
_chemical_formula_sum 'Li2 Ag4 F8'
_cell_length_a 5.8011
_cell_length_b 6.0630
_cell_length_c 6.4084
_cell_angle_alpha 90.00
_cell_angle_beta 113.83
_cell_angle_gamma 90.00
_space_group_name_H-M_alt 'P 1 21/m 1'
_space_group_IT_number 11
_space_group_name_Hall '-P 2yb'
loop_
_atom_site_label
_atom_site_type_symbol
_atom_site_fract_x
_atom_site_fract_y
_atom_site_fract_z
_atom_site_occupancy
Li1 Li 0.1441 0.2500 0.1480 1
Ag1 Ag 0.2621 0.7500 0.4598 1
Ag2 Ag 0.4832 0.7500 0.0127 1
F1 F 0.1058 0.7500 0.7454 1
F2 F 0.1121 0.2500 0.8259 1
F3 F 0.3914 0.0162 0.2506 1



Record 14
# AcTb2SmBi4 (PBE, optimized geometry)
# - crystal system = monoclinic
# - ΔE_f (eV/atom) = -0.901
data_AcTb2SmBi4
_chemical_formula_sum 'Ac1 Tb2 Sm1 Bi4'
_cell_length_a 7.9799
_cell_length_b 4.6145
_cell_length_c 7.9886
_cell_angle_alpha 90.00
_cell_angle_beta 109.45
_cell_angle_gamma 90.00
_space_group_name_H-M_alt 'P 1 2/m 1'
_space_group_IT_number 10
_space_group_name_Hall '-P 2y'
loop_
_atom_site_label
_atom_site_type_symbol
_atom_site_fract_x
_atom_site_fract_y
_atom_site_fract_z
_atom_site_occupancy
Ac1 Ac 0.0000 0.0000 0.0000 1
Tb1 Tb 0.5000 0.0000 0.5000 1
Tb2 Tb 0.5000 0.5000 0.0000 1
Sm1 Sm 0.0000 0.5000 0.5000 1
Bi1 Bi 0.2602 0.0000 0.7457 1
Bi2 Bi 0.2662 0.5000 0.2633 1



Record 15
# LiGeMoRh (PBE, optimized geometry)
# - crystal system = cubic
# - ΔE_f (eV/atom) = -0.161
data_LiGeMoRh
_chemical_formula_sum 'Li4 Ge4 Mo4 Rh4'
_cell_length_a 6.1214
_cell_length_b 6.1214
_cell_length_c 6.1214
_cell_angle_alpha 90.00
_cell_angle_beta 90.00
_cell_angle_gamma 90.00
_space_group_name_H-M_alt 'F -4 3 m'
_space_group_IT_number 216
_space_group_name_Hall 'F -4 2 3'
loop_
_atom_site_label
_atom_site_type_symbol
_atom_site_fract_x
_atom_site_fract_y
_atom_site_fract_z
_atom_site_occupancy
Li1 Li 0.0000 0.0000 0.0000 1
Ge1 Ge 0.2500 0.2500 0.2500 1
Mo1 Mo 0.0000 0.0000 0.5000 1
Rh1 Rh 0.2500 0.2500 0.7500 1



Record 16
# Nd3TlZn (PBE, optimized geometry)
# - crystal system = cubic
# - ΔE_f (eV/atom) = -0.223
data_Nd3TlZn
_chemical_formula_sum 'Nd9 Tl3 Zn3'
_cell_length_a 7.5822
_cell_length_b 7.5822
_cell_length_c 7.5822
_cell_angle_alpha 90.00
_cell_angle_beta 90.00
_cell_angle_gamma 90.00
_space_group_name_H-M_alt 'P m -3 m'
_space_group_IT_number 221
_space_group_name_Hall '-P 4 2 3'
loop_
_atom_site_label
_atom_site_type_symbol
_atom_site_fract_x
_atom_site_fract_y
_atom_site_fract_z
_atom_site_occupancy
Nd1 Nd 0.0000 0.0000 0.0000 1
Nd2 Nd 0.2657 0.2657 0.2657 1
Tl1 Tl 0.0000 0.0000 0.5000 1
Zn1 Zn 0.0000 0.5000 0.5000 1



Record 17
# TlSn2Br5 (PBE, optimized geometry)
# - crystal system = monoclinic
# - raw formation energy (eV per atom) = -0.782
data_TlSn2Br5
_chemical_formula_sum 'Tl4 Sn8 Br20'
_cell_length_a 15.1782
_cell_length_b 8.2815
_cell_length_c 11.1450
_cell_angle_alpha 90.00
_cell_angle_beta 113.95
_cell_angle_gamma 90.00
_space_group_name_H-M_alt 'C 1 2/c 1'
_space_group_IT_number 15
_space_group_name_Hall '-C 2yc'
loop_
_atom_site_label
_atom_site_type_symbol
_atom_site_fract_x
_atom_site_fract_y
_atom_site_fract_z
_atom_site_occupancy
Tl1 Tl 0.0000 0.0000 0.0000 1
Sn1 Sn 0.1218 0.4875 0.2070 1
Br1 Br 0.0000 0.2293 0.2500 1
Br2 Br 0.0924 0.3552 0.9560 1
Br3 Br 0.2084 0.1927 0.6671 1



Record 18
# Na10B17C3 (PBE, optimized geometry)
# - crystal system = monoclinic
# - ΔE_f (eV/atom) = 0.228
data_Na10B17C3
_chemical_formula_sum 'Na20 B34 C6'
_cell_length_a 14.9032
_cell_length_b 5.0731
_cell_length_c 9.1695
_cell_angle_alpha 90.00
_cell_angle_beta 108.96
_cell_angle_gamma 90.00
_space_group_name_H-M_alt 'C 1 2 1'
_space_group_IT_number 5
_space_group_name_Hall 'C 2y'
loop_
_atom_site_label
_atom_site_type_symbol
_atom_site_fract_x
_atom_site_fract_y
_atom_site_fract_z
_atom_site_occupancy
Na1 Na 0.0496 0.0000 0.2490 1
Na2 Na 0.0500 0.4987 0.7512 1
Na3 Na 0.1501 0.4950 0.2501 1
Na4 Na 0.1499 0.9974 0.7496 1
Na5 Na 0.2501 0.4945 0.7486 1
B1 B 0.0000 0.1610 0.5000 1
B2 B 0.0000 0.3242 0.0000 1
B3 B 0.0000 0.6765 0.0000 1
B4 B 0.0911 0.6790 0.5005 1
B5 B 0.1012 0.1668 0.9995 1
B6 B 0.1019 0.3355 0.5015 1
B7 B 0.1085 0.8164 0.9996 1
B8 B 0.1969 0.1600 0.5010 1
B9 B 0.2009 0.8146 0.5002 1
B10 B 0.2062 0.3379 0.9999 1
C1 C 0.0000 0.8405 0.5000 1
C2 C 0.2018 0.6599 0.9993 1



Record 19
# ZnAg2Te (PBE, optimized geometry)
# - crystal system = cubic
# - raw formation energy (eV per atom) = 0.149
data_ZnAg2Te
_chemical_formula_sum 'Zn4 Ag8 Te4'
_cell_length_a 6.9596
_cell_length_b 6.9596
_cell_length_c 6.9596
_cell_angle_alpha 90.00
_cell_angle_beta 90.00
_cell_angle_gamma 90.00
_space_group_name_H-M_alt 'F m -3 m'
_space_group_IT_number 225
_space_group_name_Hall '-F 4 2 3'
loop_
_atom_site_label
_atom_site_type_symbol
_atom_site_fract_x
_atom_site_fract_y
_atom_site_fract_z
_atom_site_occupancy
Zn1 Zn 0.0000 0.0000 0.0000 1
Ag1 Ag 0.2500 0.2500 0.2500 1
Te1 Te 0.0000 0.0000 0.5000 1



Record 20
# GaCuNi4 (PBE, optimized geometry)
# - crystal system = monoclinic
# - ΔE_f (eV/atom) = -0.125
data_GaCuNi4
_chemical_formula_sum 'Ga2 Cu2 Ni8'
_cell_length_a 8.3803
_cell_length_b 2.5969
_cell_length_c 6.9393
_cell_angle_alpha 90.00
_cell_angle_beta 114.32
_cell_angle_gamma 90.00
_space_group_name_H-M_alt 'C 1 2/m 1'
_space_group_IT_number 12
_space_group_name_Hall '-C 2y'
loop_
_atom_site_label
_atom_site_type_symbol
_atom_site_fract_x
_atom_site_fract_y
_atom_site_fract_z
_atom_site_occupancy
Ga1 Ga 0.0000 0.0000 0.0000 1
Cu1 Cu 0.0000 0.0000 0.5000 1
Ni1 Ni 0.1648 0.5000 0.8324 1
Ni2 Ni 0.1683 0.5000 0.3337 1



Record 21
# Li2CeCdHg4 (PBE, optimized geometry)
# - crystal system = trigonal
# - ΔE_f (eV/atom) = -0.269
data_Li2CeCdHg4
_chemical_formula_sum 'Li6 Ce3 Cd3 Hg12'
_cell_length_a 4.7640
_cell_length_b 4.7640
_cell_length_c 28.1574
_cell_angle_alpha 90.00
_cell_angle_beta 90.00
_cell_angle_gamma 120.00
_space_group_name_H-M_alt 'R -3 m'
_space_group_IT_number 166
_space_group_name_Hall '-R 3 2"'
loop_
_atom_site_label
_atom_site_type_symbol
_atom_site_fract_x
_atom_site_fract_y
_atom_site_fract_z
_atom_site_occupancy
Li1 Li 0.0000 0.0000 0.2312 1
Ce1 Ce 0.0000 0.0000 0.0000 1
Cd1 Cd 0.0000 0.0000 0.5000 1
Hg1 Hg 0.0000 0.0000 0.1187 1
Hg2 Hg 0.0000 0.0000 0.3903 1



Record 22
# CeZn2AgPd2 (PBE, optimized geometry)
# - crystal system = tetragonal
# - ΔE_f (eV/atom) = -0.021
data_CeZn2AgPd2
_chemical_formula_sum 'Ce1 Zn2 Ag1 Pd2'
_cell_length_a 4.7232
_cell_length_b 4.7232
_cell_length_c 5.6692
_cell_angle_alpha 90.00
_cell_angle_beta 90.00
_cell_angle_gamma 90.00
_space_group_name_H-M_alt 'P 4/m m m'
_space_group_IT_number 123
_space_group_name_Hall '-P 4 2'
loop_
_atom_site_label
_atom_site_type_symbol
_atom_site_fract_x
_atom_site_fract_y
_atom_site_fract_z
_atom_site_occupancy
Ce1 Ce 0.0000 0.0000 0.0000 1
Zn1 Zn 0.0000 0.5000 0.5000 1
Ag1 Ag 0.0000 0.0000 0.5000 1
Pd1 Pd 0.5000 0.5000 0.2462 1



Record 23
# Ca4Mg3Tl2 (PBE, optimized geometry)
# - crystal system = monoclinic
# - ΔE_f (eV/atom) = -0.225
data_Ca4Mg3Tl2
_chemical_formula_sum 'Ca8 Mg6 Tl4'
_cell_length_a 9.4318
_cell_length_b 5.4418
_cell_length_c 10.3402
_cell_angle_alpha 90.00
_cell_angle_beta 90.01
_cell_angle_gamma 90.00
_space_group_name_H-M_alt 'C 1 2/m 1'
_space_group_IT_number 12
_space_group_name_Hall '-C 2y'
loop_
_atom_site_label
_atom_site_type_symbol
_atom_site_fract_x
_atom_site_fract_y
_atom_site_fract_z
_atom_site_occupancy
Ca1 Ca 0.9996 0.0000 0.1740 1
Ca2 Ca 0.1670 0.5000 0.6234 1
Mg1 Mg 0.0000 0.0000 0.5000 1
Mg2 Mg 0.1667 0.5000 0.0041 1
Tl1 Tl 0.1661 0.5000 0.3050 1